Computed, not measured: an optimized crystal structure of Er2MnFe2Co5 at the PBE-GGA level of DFT.

a b c (Å): 9.3375 9.3375 3.3177
angles (deg): 90.00 90.00 90.00
Last column: nearest neighbours and their distance in Å.
Fractional coordinates of all 20 atoms:
Er  0.1775  0.3225  0.0000  3 Fe 2.65-2.84, 2 Co 2.87
Er  0.3225  0.8225  0.0000  3 Fe 2.65-2.84, 2 Co 2.87
Er  0.6775  0.1775  0.0000  3 Fe 2.65-2.84, 2 Co 2.87
Er  0.8225  0.6775  0.0000  3 Fe 2.65-2.84, 2 Co 2.87
Mn  0.0000  0.0000  0.0000  8 Co 2.59
Mn  0.5000  0.5000  0.0000  8 Co 2.59
Fe  0.1221  0.6221  0.0000  6 Co 2.31-2.39
Fe  0.3779  0.1221  0.0000  6 Co 2.31-2.39
Fe  0.6221  0.8779  0.0000  6 Co 2.31-2.39
Fe  0.8779  0.3779  0.0000  6 Co 2.31-2.39
Co  0.0000  0.5000  0.5000  4 Fe 2.31
Co  0.0606  0.7962  0.5000  2 Fe 2.39, 2 Mn 2.59
Co  0.2038  0.0606  0.5000  2 Fe 2.39, 2 Mn 2.59
Co  0.2962  0.5606  0.5000  2 Fe 2.39, 2 Mn 2.59
Co  0.4394  0.2962  0.5000  2 Fe 2.39, 2 Mn 2.59
Co  0.5000  0.0000  0.5000  4 Fe 2.31
Co  0.5606  0.7038  0.5000  2 Fe 2.39, 2 Mn 2.59
Co  0.7038  0.4394  0.5000  2 Fe 2.39, 2 Mn 2.59
Co  0.7962  0.9394  0.5000  2 Fe 2.39, 2 Mn 2.59
Co  0.9394  0.2038  0.5000  2 Fe 2.39, 2 Mn 2.59

## Properties
SG: No. 127
spin magnetization: 27.9 μB/cell
ΔH_f (0 K): 5 meV per atom
electronic total energy: -0.5197 Ry/atom

Computed, not measured: an optimized crystal structure of MnRe2Se at the PBE-GGA level of DFT.

a b c (Å): 4.6556 4.6556 4.6893
angles (deg): 92.86 92.86 36.67
Last column: nearest neighbours and their distance in Å.
Fractional coordinates of all 4 atoms:
Mn  0.0000  0.0000  0.0000  1 Se 2.38
Re  0.2645  0.2645  0.7221  2 Se 2.54, 3 Re 2.56-2.72, 3 Mn 2.74-2.81
Re  0.5252  0.5252  0.5086  3 Re 2.56-2.72, 1 Se 2.62, 4 Mn 2.75-2.80
Se  0.7491  0.7491  0.1630  1 Mn 2.38, 3 Re 2.54-2.62

## Properties
SG: No. 8
spin magnetization: 2.6 μB/cell
electronic total energy: -0.6585 Ry/atom
E_form (uncorrected): 0.428 eV/atom

Computed, not measured: an optimized crystal structure of KTcW2 at the PBE-GGA level of DFT.

a b c (Å): 5.7281 5.7281 2.6455
angles (deg): 98.82 98.82 120.17
Last column: nearest neighbours and their distance in Å.
Fractional coordinates of all 4 atoms:
K  0.0000  0.0000  0.0000  2 K 2.65, 2 Tc 2.86
Tc  0.5000  0.5000  0.0000  2 Tc 2.65, 2 K 2.86
W  0.0000  0.5000  0.5000  4 W 2.65-2.86
W  0.5000  0.0000  0.5000  4 W 2.65-2.86

## Properties
SG: No. 12
spin magnetization: 0.0 μB/cell
ΔH_f (0 K): 1493 meV per atom
electronic total energy: -0.5770 Ry/atom
offset from the most stable computed form: 16.95 kcal/mol of atoms

Computed, not measured: an optimized crystal structure of La2HfTiZn at the PBE-GGA level of DFT.

a b c (Å): 5.5962 5.5962 5.1200
angles (deg): 90.00 90.00 90.00
Last column: nearest neighbours and their distance in Å.
Fractional coordinates of all 5 atoms:
La  0.0000  0.5000  0.0000  2 Hf 2.80
La  0.5000  0.0000  0.0000  2 Hf 2.80
Hf  0.0000  0.0000  0.0000  2 Zn 2.56, 4 La 2.80
Ti  0.5000  0.5000  0.5000  8 La 3.79, 4 Zn 3.96
Zn  0.0000  0.0000  0.5000  2 Hf 2.56

## Properties
SG: No. 123
spin magnetization: 0.1 μB/cell
ΔH_f (0 K): 1057 meV per atom
electronic total energy: -0.3483 Ry/atom

Computed, not measured: an optimized crystal structure of Tb2MgSb4 at the PBE-GGA level of DFT.

a b c (Å): 4.2417 4.2417 11.1453
angles (deg): 90.00 90.00 90.00
Last column: nearest neighbours and their distance in Å.
Fractional coordinates of all 7 atoms:
Tb  0.0000  0.5000  0.2253  8 Sb 3.20-3.29
Tb  0.5000  0.0000  0.7747  8 Sb 3.20-3.29
Mg  0.0000  0.0000  0.5000  4 Sb 2.88
Sb  0.0000  0.0000  0.0000  4 Sb 3.00, 4 Tb 3.29
Sb  0.0000  0.5000  0.6746  2 Mg 2.88, 4 Tb 3.20
Sb  0.5000  0.0000  0.3254  2 Mg 2.88, 4 Tb 3.20
Sb  0.5000  0.5000  0.0000  4 Sb 3.00, 4 Tb 3.29

## Properties
SG: No. 115
spin magnetization: 0.0 μB/cell
electronic total energy: -0.3389 Ry/atom
E_form (uncorrected): -0.704 eV/atom

Computed, not measured: an optimized crystal structure of Li2BeMo2 at the PBE-GGA level of DFT.

a b c (Å): 7.3689 7.3689 7.3689
angles (deg): 154.66 154.66 36.14
Last column: nearest neighbours and their distance in Å.
Fractional coordinates of all 5 atoms:
Li  0.2500  0.7500  0.5000  4 Li 2.29
Li  0.7500  0.2500  0.5000  4 Li 2.29
Be  0.0000  0.0000  0.0000  8 Mo 2.54
Mo  0.4209  0.4209  0.0000  1 Mo 2.22
Mo  0.5791  0.5791  0.0000  1 Mo 2.22

## Properties
SG: No. 139
spin magnetization: 0.0 μB/cell
ΔH_f (0 K): 647 meV per atom
electronic total energy: -0.3819 Ry/atom
offset from the most stable computed form: 0.00 kcal/mol of atoms

Computed, not measured: an optimized crystal structure of LaTc8 at the PBE-GGA level of DFT.

a b c (Å): 6.3594 6.3594 6.3594
angles (deg): 96.09 96.09 141.99
Last column: nearest neighbours and their distance in Å.
Fractional coordinates of all 9 atoms:
La  0.0000  0.0000  0.0000  12 Tc 3.02-3.12
Tc  0.0000  0.3552  0.3552  7 Tc 2.46-2.71
Tc  0.0000  0.6448  0.6448  7 Tc 2.46-2.71
Tc  0.3061  0.3061  0.6121  4 Tc 2.47-2.64
Tc  0.3061  0.6939  0.0000  4 Tc 2.47-2.64
Tc  0.3552  0.0000  0.3552  7 Tc 2.46-2.71
Tc  0.6448  0.0000  0.6448  7 Tc 2.46-2.71
Tc  0.6939  0.3061  0.0000  4 Tc 2.47-2.64
Tc  0.6939  0.6939  0.3879  4 Tc 2.47-2.64

## Properties
SG: No. 139
spin magnetization: 0.0 μB/cell
ΔH_f (0 K): 100 meV per atom
electronic total energy: -0.7102 Ry/atom

Computed, not measured: an optimized crystal structure of SrAgF4 at the PBE-GGA level of DFT.

a b c (Å): 4.2159 4.2159 5.6698
angles (deg): 97.73 97.73 88.86
Last column: nearest neighbours and their distance in Å.
Fractional coordinates of all 6 atoms:
Sr  0.0000  0.0000  0.0000  8 F 2.51-2.57
Ag  0.5000  0.5000  0.5000  4 F 2.14
F  0.0799  0.5522  0.2521  1 Ag 2.14
F  0.4478  0.9201  0.7479  1 Ag 2.14
F  0.5522  0.0799  0.2521  1 Ag 2.14
F  0.9201  0.4478  0.7479  1 Ag 2.14

## Properties
SG: No. 12
spin magnetization: 1.0 μB/cell
electronic total energy: -0.3337 Ry/atom
E_form (uncorrected): -2.537 eV/atom
offset from the most stable computed form: 0.00 kcal/mol of atoms

Computed, not measured: an optimized crystal structure of BeSb2TeW at the PBE-GGA level of DFT.

a b c (Å): 4.7673 4.7673 5.0092
angles (deg): 90.00 90.00 90.00
Last column: nearest neighbours and their distance in Å.
Fractional coordinates of all 5 atoms:
Be  0.0000  0.0000  0.0000  4 Sb 2.38, 2 Te 2.50
Sb  0.0000  0.5000  0.0000  2 Be 2.38
Sb  0.5000  0.0000  0.0000  2 Be 2.38
Te  0.0000  0.0000  0.5000  2 Be 2.50
W  0.5000  0.5000  0.5000  4 Te 3.37, 8 Sb 3.46

## Properties
SG: No. 123
spin magnetization: 3.1 μB/cell
electronic total energy: -0.3228 Ry/atom
E_form (uncorrected): 1.222 eV/atom
offset from the most stable computed form: 2.68 kcal/mol of atoms

Computed, not measured: an optimized crystal structure of Sm4Tl3Hg4 at the PBE-GGA level of DFT.

a b c (Å): 10.3872 10.3872 10.3872
angles (deg): 157.87 128.29 56.91
Last column: nearest neighbours and their distance in Å.
Fractional coordinates of all 11 atoms:
Sm  0.2234  0.0000  0.2234  2 Hg 3.13, 6 Tl 3.20-3.33
Sm  0.2294  0.2294  0.0000  6 Hg 3.16-3.22, 2 Tl 3.17
Sm  0.7706  0.7706  0.0000  6 Hg 3.16-3.22, 2 Tl 3.17
Sm  0.7766  0.0000  0.7766  2 Hg 3.13, 6 Tl 3.20-3.33
Tl  0.0947  0.5947  0.5000  6 Sm 3.17-3.33, 1 Tl 3.46
Tl  0.5000  0.5000  0.0000  4 Sm 3.20
Tl  0.9053  0.4053  0.5000  6 Sm 3.17-3.33, 1 Tl 3.46
Hg  0.1587  0.8359  0.3228  4 Sm 3.13-3.22, 1 Hg 3.21
Hg  0.4868  0.1641  0.3228  4 Sm 3.13-3.22, 1 Hg 3.21
Hg  0.5132  0.8359  0.6772  4 Sm 3.13-3.22, 1 Hg 3.21
Hg  0.8413  0.1641  0.6772  4 Sm 3.13-3.22, 1 Hg 3.21

## Properties
SG: No. 71
spin magnetization: 0.0 μB/cell
ΔH_f (0 K): -206 meV per atom
electronic total energy: -0.1968 Ry/atom

Computed, not measured: an optimized crystal structure of CaLuAlPd at the PBE-GGA level of DFT.

a b c (Å): 5.0175 5.0175 5.0175
angles (deg): 60.00 60.00 60.00
Last column: nearest neighbours and their distance in Å.
Fractional coordinates of all 4 atoms:
Ca  0.0000  0.0000  0.0000  4 Al 3.07, 4 Pd 3.07
Lu  0.5000  0.5000  0.5000  4 Al 3.07, 4 Pd 3.07
Al  0.7500  0.7500  0.7500  4 Lu 3.07, 4 Ca 3.07
Pd  0.2500  0.2500  0.2500  4 Ca 3.07, 4 Lu 3.07

## Properties
SG: No. 216
spin magnetization: 0.0 μB/cell
ΔH_f (0 K): -482 meV per atom
electronic total energy: -0.3194 Ry/atom

Computed, not measured: an optimized crystal structure of Pr6Ho2Cd at the PBE-GGA level of DFT.

a b c (Å): 6.3854 6.7696 14.3242
angles (deg): 96.94 102.14 90.36
Last column: nearest neighbours and their distance in Å.
Fractional coordinates of all 18 atoms:
Pr  0.0406  0.3429  0.3882  8 Pr 3.46-3.76, 1 Cd 3.51, 3 Ho 3.52-3.83
Pr  0.0775  0.4003  0.8350  7 Pr 3.45-3.76, 4 Ho 3.54-3.75, 1 Cd 3.61
Pr  0.1270  0.1466  0.6172  8 Pr 3.45-3.83, 2 Ho 3.57, 2 Cd 3.63-3.67
Pr  0.1899  0.1976  0.0664  1 Cd 3.50, 4 Ho 3.51-3.82, 7 Pr 3.53-3.75
Pr  0.3700  0.7037  0.0584  1 Cd 3.52, 3 Ho 3.54-3.64, 8 Pr 3.54-3.75
Pr  0.4077  0.7521  0.5033  2 Cd 3.51-3.66, 8 Pr 3.57-3.83, 2 Ho 3.60-3.61
Pr  0.5923  0.2479  0.4967  2 Cd 3.51-3.66, 8 Pr 3.57-3.83, 2 Ho 3.60-3.61
Pr  0.6300  0.2963  0.9416  1 Cd 3.52, 3 Ho 3.54-3.64, 8 Pr 3.54-3.75
Pr  0.8101  0.8024  0.9336  1 Cd 3.50, 4 Ho 3.51-3.82, 7 Pr 3.53-3.75
Pr  0.8730  0.8534  0.3828  8 Pr 3.45-3.83, 2 Ho 3.57, 2 Cd 3.63-3.67
Pr  0.9225  0.5997  0.1650  7 Pr 3.45-3.76, 4 Ho 3.54-3.75, 1 Cd 3.61
Pr  0.9594  0.6571  0.6118  8 Pr 3.46-3.76, 1 Cd 3.51, 3 Ho 3.52-3.83
Ho  0.2572  0.9066  0.8294  2 Cd 3.47-3.86, 9 Pr 3.52-3.82, 1 Ho 3.54
Ho  0.4681  0.4785  0.2790  2 Cd 3.49-3.51, 9 Pr 3.51-3.83, 1 Ho 3.54
Ho  0.5319  0.5215  0.7210  2 Cd 3.49-3.51, 9 Pr 3.51-3.83, 1 Ho 3.54
Ho  0.7428  0.0934  0.1706  2 Cd 3.47-3.86, 9 Pr 3.52-3.82, 1 Ho 3.54
Cd  0.3287  0.9761  0.2787  4 Ho 3.47-3.86, 8 Pr 3.50-3.67
Cd  0.6713  0.0239  0.7213  4 Ho 3.47-3.86, 8 Pr 3.50-3.67

## Properties
SG: No. 2
spin magnetization: 0.0 μB/cell
ΔH_f (0 K): -20 meV per atom
electronic total energy: -0.3179 Ry/atom
offset from the most stable computed form: 0.00 kcal/mol of atoms

Q: spin magnetization of number 6 (Li2BeMo2)?
A: 0.0 μB/cell

Q: Look up the spin magnetization of the sixth one.
A: 0.0 μB/cell

Q: The highest electronic total energy belongs to which entry?
A: Sm4Tl3Hg4

Q: Among the records above, which one has the lowest electronic total energy?
A: LaTc8